# Sr3CdN

A geometry-optimized Sr3CdN structure (PBE, Alexandria).

It has space group Pm-3m (No. 221), with a = 5.315 Å, b = 5.315 Å, c = 5.315 Å, α = 90.00°, β = 90.00° and γ = 90.00°. The inequivalent atoms are Sr at (0.000, 0.000, 0.500), Cd at (0.500, 0.500, 0.500) and N at (0.000, 0.000, 0.000).

As for the raw formation energy: -0.417 eV/atom. The total energy is -3.27 eV per atom. The density of states at the Fermi level comes out at 0.563 states/eV/atom. Its offset from the most stable computed form is 0.0000 eV per atom. The total magnetization comes out at 0.00 μB/cell.